# LaBe2BiS, optimized geometry, DFT GGA-PBE
data_LaBe2BiS
_symmetry_space_group_name_H-M 'P 4/m m m'
_symmetry_Int_Tables_number 123
_symmetry_space_group_name_Hall '-P 4 2'
_cell_length_a 5.305
_cell_length_b 5.305
_cell_length_c 5.268
_cell_angle_alpha 90.00
_cell_angle_beta 90.00
_cell_angle_gamma 90.00
loop_
_atom_site_label
_atom_site_fract_x
_atom_site_fract_y
_atom_site_fract_z
La1 0.000 0.000 0.000
Be1 0.000 0.500 0.000
Bi1 0.500 0.500 0.500
S1 0.000 0.000 0.500
# E_tot   -3.08 eV/atom
# Energy relative to the elements, uncorrected   0.996 eV per atom
# Size of the total moment   0.0 μB per formula unit